## Nb2SnIr (PBE)

Data for a relaxed Nb2SnIr crystal.

## Properties
- Raw total energy: -8.114 eV per atom
- E_form: 0.137 eV per atom
- ρ: 10.348 g cm⁻³

a b c (Å): 6.0170 6.0170 6.0170
angles (deg): 102.72 102.72 124.02
With the nearest neighbours (Å) after each atom.
Sites, in units of the cell vectors:
Nb1 0.0884 0.6250 0.9634  2 Ir 2.57, 2 Nb 2.88
Nb2 0.3750 0.3384 0.4634  2 Ir 2.57, 2 Nb 2.88
Nb3 0.6616 0.1250 0.0366  2 Ir 2.57, 2 Nb 2.88
Nb4 0.8750 0.9116 0.5366  2 Ir 2.57, 2 Nb 2.88
Sn1 0.2500 0.7500 0.5000  2 Ir 2.82, 4 Nb 2.94
Sn2 0.5000 0.5000 0.0000  2 Ir 2.82, 4 Nb 2.94
Ir1 0.0000 0.0000 0.0000  4 Nb 2.57, 2 Sn 2.82
Ir2 0.7500 0.2500 0.5000  4 Nb 2.57, 2 Sn 2.82

=====

## PtSe2N (PBE)

Data for a relaxed PtSe2N crystal.

## Properties
- ΔE_f (raw): 749 meV/atom
- Raw total energy: -4.585 eV per atom
- ρ: 7.914 g cm⁻³

a b c (Å): 6.6466 6.6466 6.6466
angles (deg): 133.04 133.04 68.59
With the nearest neighbours (Å) after each atom.
Sites, in units of the cell vectors:
Pt1 0.0000 0.0000 0.0000  4 Se 2.45
Pt2 0.7500 0.2500 0.5000  4 Se 2.45
Se1 0.1660 0.6250 0.0410  2 N 2.21, 2 Pt 2.45
Se2 0.3750 0.4160 0.5410  2 N 2.21, 2 Pt 2.45
Se3 0.5840 0.1250 0.9590  2 N 2.21, 2 Pt 2.45
Se4 0.8750 0.8340 0.4590  2 N 2.21, 2 Pt 2.45
N1 0.2500 0.7500 0.5000  4 Se 2.21
N2 0.5000 0.5000 0.0000  4 Se 2.21

=====

## Al2ZnIn (PBE)

Data for a relaxed Al2ZnIn crystal.

## Properties
- Raw total energy: -2.695 eV per atom
- E_form: 0.179 eV per atom
- ρ: 4.969 g cm⁻³

a b c (Å): 2.8986 5.1675 5.2249
angles (deg): 90.00 90.00 90.00
With the nearest neighbours (Å) after each atom.
Sites, in units of the cell vectors:
Al1 0.0000 0.0000 0.0000  6 Al 2.90-2.96, 4 In 2.99
Al2 0.5000 0.5000 0.0000  6 Al 2.90-2.96, 4 Zn 2.99
Zn1 0.0000 0.5000 0.5000  2 Zn 2.90, 4 In 2.96, 4 Al 2.99
In1 0.5000 0.0000 0.5000  2 In 2.90, 4 Zn 2.96, 4 Al 2.99

=====

## BaHgPd3Au (PBE)

Data for a relaxed BaHgPd3Au crystal.

## Properties
- Raw total energy: -3.734 eV per atom
- E_form: -0.221 eV per atom
- ρ: 10.335 g cm⁻³

a b c (Å): 7.5493 7.5493 6.1122
angles (deg): 90.00 90.00 128.00
With the nearest neighbours (Å) after each atom.
Sites, in units of the cell vectors:
Ba1 0.1894 0.8106 0.7500  2 Au 3.09, 1 Hg 3.16, 6 Pd 3.28-3.38
Ba2 0.8106 0.1894 0.2500  2 Au 3.09, 1 Hg 3.16, 6 Pd 3.28-3.38
Hg1 0.4224 0.5776 0.7500  5 Pd 2.71-2.91
Hg2 0.5776 0.4224 0.2500  5 Pd 2.71-2.91
Pd1 0.2018 0.2018 0.0000  1 Pd 2.67, 2 Hg 2.71, 2 Au 2.92
Pd2 0.2018 0.2018 0.5000  1 Pd 2.67, 2 Hg 2.71, 2 Au 2.92
Pd3 0.3630 0.6370 0.2500  1 Au 2.83, 3 Hg 2.91-3.16, 4 Pd 3.11
Pd4 0.6370 0.3630 0.7500  1 Au 2.83, 3 Hg 2.91-3.16, 4 Pd 3.11
Pd5 0.7982 0.7982 0.0000  1 Pd 2.67, 2 Hg 2.71, 2 Au 2.92
Pd6 0.7982 0.7982 0.5000  1 Pd 2.67, 2 Hg 2.71, 2 Au 2.92
Au1 0.1548 0.8452 0.2500  5 Pd 2.83-2.92, 2 Ba 3.09
Au2 0.8452 0.1548 0.7500  5 Pd 2.83-2.92, 2 Ba 3.09

=====

## Bi2TeW (PBE)

Data for a relaxed Bi2TeW crystal.

## Properties
- ΔE_f (raw): 1085 meV/atom
- Raw total energy: -4.879 eV per atom
- ρ: 7.976 g cm⁻³

a b c (Å): 8.1615 8.1615 8.1615
angles (deg): 130.91 130.91 71.96
With the nearest neighbours (Å) after each atom.
Sites, in units of the cell vectors:
Bi1 0.0625 0.6250 0.9375  2 W 2.69
Bi2 0.3750 0.3125 0.4375  2 W 2.69
Bi3 0.6875 0.1250 0.0625  2 W 2.69
Bi4 0.8750 0.9375 0.5625  2 W 2.69
Te1 0.2500 0.7500 0.5000  4 Bi 3.18
Te2 0.5000 0.5000 0.0000  4 Bi 3.18
W1 0.0000 0.0000 0.0000  4 Bi 2.69
W2 0.7500 0.2500 0.5000  4 Bi 2.69

=====

## Cd2TcCl (PBE)

Data for a relaxed Cd2TcCl crystal.

## Properties
- ΔE_f (raw): 557 meV/atom
- Raw total energy: -2.953 eV per atom
- Energy relative to the lowest polymorph listed for this composition: 1.748 eV/f.u.
- ρ: 7.239 g cm⁻³

a b c (Å): 5.5670 5.5670 5.5670
angles (deg): 135.98 135.98 64.01
With the nearest neighbours (Å) after each atom.
Sites, in units of the cell vectors:
Cd1 0.0000 0.0000 0.0000  4 Tc 2.95, 4 Cd 3.15, 4 Cl 3.15
Cd2 0.7500 0.2500 0.5000  4 Cl 2.95, 4 Tc 3.15, 4 Cd 3.15
Tc1 0.5000 0.5000 0.0000  8 Cd 2.95-3.15, 4 Cl 3.15
Cl1 0.2500 0.7500 0.5000  8 Cd 2.95-3.15, 4 Tc 3.15

=====

## YCuNi (PBE)

Data for a relaxed YCuNi crystal.

## Properties
- Raw total energy: -5.073 eV per atom
- E_form: 0.375 eV per atom
- ρ: 5.466 g cm⁻³

a b c (Å): 4.4933 4.4933 4.4933
angles (deg): 60.00 60.00 60.00
With the nearest neighbours (Å) after each atom.
Sites, in units of the cell vectors:
Y1 0.0000 0.0000 0.0000  4 Ni 2.75, 4 Cu 2.75
Cu1 0.7500 0.7500 0.7500  4 Y 2.75
Ni1 0.2500 0.2500 0.2500  4 Y 2.75

=====

## Tl2HgAs (PBE)

Data for a relaxed Tl2HgAs crystal.

## Properties
- Raw total energy: -2.234 eV per atom
- E_form: 0.187 eV per atom
- Energy relative to the lowest polymorph listed for this composition: 0.582 eV/f.u.
- ρ: 10.522 g cm⁻³

a b c (Å): 11.0351 11.0351 11.0351
angles (deg): 17.66 17.66 17.66
With the nearest neighbours (Å) after each atom.
Sites, in units of the cell vectors:
Tl1 0.0000 0.0000 0.0000  3 Hg 3.34, 6 Tl 3.39
Tl2 0.2354 0.2354 0.2354  3 As 3.19, 6 Tl 3.39
Hg1 0.7498 0.7498 0.7498  3 As 3.13, 3 Tl 3.34, 6 Hg 3.39
As1 0.4913 0.4913 0.4913  3 Hg 3.13, 3 Tl 3.19, 6 As 3.39

=====

## HoErSn2 (PBE)

Data for a relaxed HoErSn2 crystal.

## Properties
- Raw total energy: -4.878 eV per atom
- E_form: -0.592 eV per atom
- ρ: 9.072 g cm⁻³

a b c (Å): 4.8852 4.8852 4.3687
angles (deg): 90.00 90.00 90.00
With the nearest neighbours (Å) after each atom.
Sites, in units of the cell vectors:
Ho1 0.0000 0.0000 0.0000  8 Sn 3.28, 4 Er 3.45
Er1 0.5000 0.5000 0.0000  8 Sn 3.28, 4 Ho 3.45
Sn1 0.0000 0.5000 0.5000  4 Ho 3.28, 4 Er 3.28, 4 Sn 3.45
Sn2 0.5000 0.0000 0.5000  4 Ho 3.28, 4 Er 3.28, 4 Sn 3.45

=====

## Ce4TmSn5 (PBE)

Data for a relaxed Ce4TmSn5 crystal.

## Properties
- Raw total energy: -5.407 eV per atom
- E_form: -0.585 eV per atom
- ρ: 8.102 g cm⁻³

a b c (Å): 3.4710 3.4710 22.5050
angles (deg): 90.00 90.00 90.00
With the nearest neighbours (Å) after each atom.
Sites, in units of the cell vectors:
Ce1 0.0000 0.0000 0.1010  8 Sn 3.34, 4 Ce 3.47
Ce2 0.0000 0.0000 0.3024  8 Sn 3.34-3.37, 4 Ce 3.47
Ce3 0.0000 0.0000 0.6976  8 Sn 3.34-3.37, 4 Ce 3.47
Ce4 0.0000 0.0000 0.8990  8 Sn 3.34, 4 Ce 3.47
Tm1 0.0000 0.0000 0.5000  8 Sn 3.26, 4 Tm 3.47
Sn1 0.5000 0.5000 0.0000  8 Ce 3.34, 4 Sn 3.47
Sn2 0.5000 0.5000 0.2019  8 Ce 3.34, 4 Sn 3.47
Sn3 0.5000 0.5000 0.4048  4 Tm 3.26, 4 Ce 3.37, 4 Sn 3.47
Sn4 0.5000 0.5000 0.5952  4 Tm 3.26, 4 Ce 3.37, 4 Sn 3.47
Sn5 0.5000 0.5000 0.7981  8 Ce 3.34, 4 Sn 3.47